# 1
This record from the Alexandria database describes a PBEsol-optimized structure of NaZrGa2. The functional is meta-GGA SCAN.

The structure in CIF format:
```
data_NaZrGa2
_symmetry_space_group_name_H-M 'F m -3 m'
_symmetry_Int_Tables_number 225
_symmetry_space_group_name_Hall '-F 4 2 3'
_cell_length_a 6.6950
_cell_length_b 6.6950
_cell_length_c 6.6950
_cell_angle_alpha 90.00
_cell_angle_beta 90.00
_cell_angle_gamma 90.00
loop_
_atom_site_label
_atom_site_type_symbol
_atom_site_fract_x
_atom_site_fract_y
_atom_site_fract_z
Na1 Na 0.0000 0.0000 0.0000
Zr1 Zr 0.0000 0.0000 0.5000
Ga1 Ga 0.2500 0.2500 0.2500
```

Computed properties:
Spin magnetization (μB/atom): 0.000
E_form (eV per formula unit): -0.58

# 2
This record from the Alexandria database describes a PBEsol-optimized structure of Nb5Ga13. The functional is meta-GGA SCAN.

The structure in CIF format:
```
data_Nb5Ga13
_symmetry_space_group_name_H-M 'C m m m'
_symmetry_Int_Tables_number 65
_symmetry_space_group_name_Hall '-C 2 2'
_cell_length_a 3.7508
_cell_length_b 40.1365
_cell_length_c 3.7434
_cell_angle_alpha 90.00
_cell_angle_beta 90.00
_cell_angle_gamma 90.00
loop_
_atom_site_label
_atom_site_type_symbol
_atom_site_fract_x
_atom_site_fract_y
_atom_site_fract_z
Nb1 Nb 0.0000 0.0000 0.0000
Nb2 Nb 0.0000 0.2163 0.0000
Nb3 Nb 0.0000 0.3919 0.5000
Ga1 Ga 0.0000 0.0548 0.5000
Ga2 Ga 0.0000 0.1116 0.0000
Ga3 Ga 0.0000 0.1643 0.5000
Ga4 Ga 0.0000 0.2720 0.5000
Ga5 Ga 0.0000 0.3352 0.0000
Ga6 Ga 0.0000 0.4454 0.0000
Ga7 Ga 0.0000 0.5000 0.5000
```

Computed properties:
Spin magnetization (μB/atom): 0.000
E_form (eV per formula unit): -7.53

# 3
This record from the Alexandria database describes a PBEsol-optimized structure of Nb5Ga4. The functional is meta-GGA SCAN.

The structure in CIF format:
```
data_Nb5Ga4
_symmetry_space_group_name_H-M 'P 63/m c m'
_symmetry_Int_Tables_number 193
_symmetry_space_group_name_Hall '-P 6c 2'
_cell_length_a 7.9184
_cell_length_b 7.9184
_cell_length_c 5.4061
_cell_angle_alpha 90.00
_cell_angle_beta 90.00
_cell_angle_gamma 120.00
loop_
_atom_site_label
_atom_site_type_symbol
_atom_site_fract_x
_atom_site_fract_y
_atom_site_fract_z
Nb1 Nb 0.0000 0.2808 0.2500
Nb2 Nb 0.3333 0.6667 0.0000
Ga1 Ga 0.0000 0.0000 0.0000
Ga2 Ga 0.0000 0.3836 0.7500
```

Computed properties:
Spin magnetization (μB/atom): 0.000
E_form (eV per formula unit): -4.16

# 4
This record from the Alexandria database describes a PBEsol-optimized structure of Nd2NbGaO7. The functional is meta-GGA SCAN.

The structure in CIF format:
```
data_Nd2NbGaO7
_symmetry_space_group_name_H-M 'I m m a'
_symmetry_Int_Tables_number 74
_symmetry_space_group_name_Hall '-I 2b 2'
_cell_length_a 7.2584
_cell_length_b 7.4344
_cell_length_c 10.4219
_cell_angle_alpha 90.00
_cell_angle_beta 90.00
_cell_angle_gamma 90.00
loop_
_atom_site_label
_atom_site_type_symbol
_atom_site_fract_x
_atom_site_fract_y
_atom_site_fract_z
Nd1 Nd 0.0000 0.0000 0.0000
Nd2 Nd 0.2500 0.2500 0.2500
Nb1 Nb 0.0000 0.0000 0.5000
Ga1 Ga 0.2500 0.2500 0.7500
O1 O 0.0000 0.2500 0.1246
O2 O 0.0000 0.2500 0.4218
O3 O 0.0000 0.2500 0.8298
O4 O 0.2021 0.0444 0.6252
```

Computed properties:
Spin magnetization (μB/atom): 0.000
Raw formation energy (meV/atom): -3087